This record from Alexandria describes crystalline Li2MnS2O8 at its relaxed geometry. The functional is PBEsol.

Computed properties:
Its crystal system is monoclinic. Its density of states at the Fermi level is 0.000 states/eV per atom.

Unit cell a=4.995 b=8.258 c=8.836 alpha=90.00 beta=121.06 gamma=90.00
Atoms (fractional coordinates):
Li 0.018 0.132 0.104
Li 0.018 0.368 0.604
Li 0.982 0.632 0.396
Li 0.982 0.868 0.896
Mn 0.000 0.000 0.500
Mn 0.000 0.500 0.000
S 0.331 0.697 0.798
S 0.331 0.803 0.298
S 0.669 0.197 0.702
S 0.669 0.303 0.202
O 0.179 0.584 0.649
O 0.179 0.916 0.149
O 0.192 0.637 0.245
O 0.192 0.863 0.745
O 0.281 0.646 0.944
O 0.281 0.854 0.444
O 0.328 0.202 0.634
O 0.328 0.298 0.134
O 0.672 0.702 0.866
O 0.672 0.798 0.366
O 0.719 0.146 0.556
O 0.719 0.354 0.056
O 0.808 0.137 0.255
O 0.808 0.363 0.755
O 0.821 0.084 0.851
O 0.821 0.416 0.351

---

This record from Alexandria describes crystalline Na3NpH2O6 at its relaxed geometry. The functional is PBEsol.

Computed properties:
Its crystal system is orthorhombic.

Unit cell a=11.149 b=5.992 c=10.287 alpha=81.87 beta=32.14 gamma=65.99
Atoms (fractional coordinates):
Na 0.000 0.000 0.000
Na 0.250 0.250 0.250
Na 0.278 0.401 0.547
Na 0.401 0.278 0.774
Na 0.476 0.703 0.849
Na 0.703 0.476 0.972
Np 0.662 0.662 0.338
Np 0.912 0.912 0.588
H 0.276 0.897 0.437
H 0.813 0.860 0.974
H 0.860 0.813 0.353
H 0.897 0.276 0.390
O 0.105 0.719 0.273
O 0.275 0.859 0.347
O 0.347 0.977 0.531
O 0.429 0.637 0.683
O 0.567 0.999 0.821
O 0.637 0.429 0.251
O 0.719 0.105 0.903
O 0.731 0.903 0.391
O 0.859 0.275 0.519
O 0.903 0.731 0.975
O 0.977 0.347 0.145
O 0.999 0.567 0.613

---

no.,E_tot (eV per cell)
1,-173.33
2,-157.57